Entry 1:
Density functional theory data (GGA-PBE) for a geometry-optimized Cs2GaBi2 structure.

Calculated values
Energy above the most stable polymorph in this dataset (meV/atom): 143
ΔE_f (meV per atom): -126

Structure (CIF):
```
data_Cs2GaBi2
_cell_length_a 4.7211
_cell_length_b 4.7211
_cell_length_c 46.6531
_cell_angle_alpha 90.00
_cell_angle_beta 90.00
_cell_angle_gamma 90.00
_symmetry_space_group_name_H-M 'I 41/a m d'
_symmetry_Int_Tables_number 141
loop_
_symmetry_equiv_pos_as_xyz
'x,y,z'
'-x,-y,-z'
'-y+1/4,x+3/4,z+1/4'
'y+1/4,-x+3/4,-z+1/4'
'-x+1/2,-y,z+1/2'
'x+1/2,y,-z+1/2'
'y+1/4,-x+1/4,z+3/4'
'-y+1/4,x+1/4,-z+3/4'
'x,-y,-z'
'-x,y,z'
'-y+1/4,-x+1/4,-z+3/4'
'y+1/4,x+1/4,z+3/4'
'-x+1/2,y,-z+1/2'
'x+1/2,-y,z+1/2'
'y+1/4,x+3/4,-z+1/4'
'-y+1/4,-x+3/4,z+1/4'
'x+1/2,y+1/2,z+1/2'
'-x+1/2,-y+1/2,-z+1/2'
'-y+3/4,x+1/4,z+3/4'
'y+3/4,-x+1/4,-z+3/4'
'-x,-y+1/2,z'
'x,y+1/2,-z'
'y+3/4,-x+3/4,z+1/4'
'-y+3/4,x+3/4,-z+1/4'
'x+1/2,-y+1/2,-z+1/2'
'-x+1/2,y+1/2,z+1/2'
'-y+3/4,-x+3/4,-z+1/4'
'y+3/4,x+3/4,z+1/4'
'-x,y+1/2,-z'
'x,-y+1/2,z'
'y+3/4,x+1/4,-z+3/4'
'-y+3/4,-x+1/4,z+3/4'
loop_
_atom_site_label
_atom_site_fract_x
_atom_site_fract_y
_atom_site_fract_z
Cs1 0.0000 0.2500 0.0514
Ga1 0.0000 0.2500 0.8750
Bi1 0.0000 0.2500 0.1591
```

Entry 2:
Density functional theory data (GGA-PBE) for a geometry-optimized CsGa2Bi2 structure.

Calculated values
Energy above the most stable polymorph in this dataset (meV/atom): 184
ΔE_f (meV per atom): -31

Structure (CIF):
```
data_CsGa2Bi2
_cell_length_a 9.6125
_cell_length_b 9.6125
_cell_length_c 3.8247
_cell_angle_alpha 90.00
_cell_angle_beta 90.00
_cell_angle_gamma 90.00
_symmetry_space_group_name_H-M 'P 4/m b m'
_symmetry_Int_Tables_number 127
_symmetry_space_group_name_Hall '-P 4 2ab'
loop_
_atom_site_label
_atom_site_fract_x
_atom_site_fract_y
_atom_site_fract_z
Cs1 0.0000 0.0000 0.0000
Ga1 0.1370 0.3630 0.5000
Bi1 0.1160 0.6160 0.0000
```

Entry 3:
Density functional theory data (GGA-PBE) for a geometry-optimized Cs2GaBi2 structure.

Calculated values
Energy above the most stable polymorph in this dataset (meV/atom): 0
ΔE_f (meV per atom): -269

Structure (CIF):
```
data_Cs2GaBi2
_cell_length_a 16.8188
_cell_length_b 7.3513
_cell_length_c 10.7172
_cell_angle_alpha 90.00
_cell_angle_beta 125.19
_cell_angle_gamma 90.00
_symmetry_space_group_name_H-M 'C 1 2/m 1'
_symmetry_Int_Tables_number 12
loop_
_symmetry_equiv_pos_as_xyz
'x,y,z'
'-x,-y,-z'
'-x,y,-z'
'x,-y,z'
'x+1/2,y+1/2,z'
'-x+1/2,-y+1/2,-z'
'-x+1/2,y+1/2,-z'
'x+1/2,-y+1/2,z'
loop_
_atom_site_label
_atom_site_fract_x
_atom_site_fract_y
_atom_site_fract_z
Cs1 0.1318 0.0000 0.3914
Cs2 0.2369 0.5000 0.8681
Ga1 0.0035 0.5000 0.8548
Bi1 0.0671 0.5000 0.4438
Bi2 0.1638 0.5000 0.1517
```

Entry 4:
Density functional theory data (GGA-PBE) for a geometry-optimized CsGaBi4 structure.

Calculated values
Energy above the most stable polymorph in this dataset (meV/atom): 0
ΔE_f (meV per atom): -90

Structure (CIF):
```
data_CsGaBi4
_cell_length_a 14.8465
_cell_length_b 7.9482
_cell_length_c 7.9271
_cell_angle_alpha 90.00
_cell_angle_beta 98.77
_cell_angle_gamma 90.00
_symmetry_space_group_name_H-M 'C 1 2/m 1'
_symmetry_Int_Tables_number 12
loop_
_symmetry_equiv_pos_as_xyz
'x,y,z'
'-x,-y,-z'
'-x,y,-z'
'x,-y,z'
'x+1/2,y+1/2,z'
'-x+1/2,-y+1/2,-z'
'-x+1/2,y+1/2,-z'
'x+1/2,-y+1/2,z'
loop_
_atom_site_label
_atom_site_fract_x
_atom_site_fract_y
_atom_site_fract_z
Cs1 0.2318 0.0000 0.3620
Ga1 0.0437 0.5000 0.2754
Bi1 0.0000 0.2230 0.5000
Bi2 0.0864 0.2142 0.9043
Bi3 0.2032 0.5000 0.1082
```